## Ac3HgRu (GGA-PBE)

Data for crystalline Ac3HgRu at its relaxed geometry.

Lattice parameters (Å, degrees): 5.706 5.706 5.706 90.00 90.00 90.00
Space group Pm-3m (No. 221)
Unique sites:
Ac1 0.000 0.000 0.500 (multiplicity 3)
Hg1 0.500 0.500 0.500 (multiplicity 1)
Ru1 0.000 0.000 0.000 (multiplicity 1)

**Energy relative to the elements**: -19 kJ per mole of atoms
**Relative energy among the computed polymorphs**: 0.122 eV per atom